(1)
Here is an optimized crystal structure of TiNbSbTe from Alexandria. Energies are from PBE-GGA.

Properties
**E**: -26.2 eV/cell

Cell lengths 4.838, 4.838, 4.838 Å; angles 60.00, 60.00, 60.00 degrees
Fractional coordinates of all 4 atoms:
1 Sb 0.250 0.250 0.250
2 Nb 0.500 0.500 0.500
3 Te 0.750 0.750 0.750
4 Ti 0.000 0.000 0.000

(2)
Here is an optimized crystal structure of NbVSb2Te from Alexandria. Energies are from PBE-GGA.

Properties
**Offset from the most stable computed form**: 0.0000 eV per atom

Cell lengths 5.368, 5.368, 5.356 Å; angles 90.00, 90.00, 90.00 degrees
Fractional coordinates of all 5 atoms:
1 Sb 0.000 0.500 0.000
2 Sb 0.500 0.000 0.000
3 Nb 0.000 0.000 0.000
4 Te 0.000 0.000 0.500
5 V 0.500 0.500 0.500

(3)
Here is an optimized crystal structure of NbVSbTe2 from Alexandria. Energies are from PBE-GGA.

Properties
**Offset from the most stable computed form**: 0.0000 eV per atom

Cell lengths 5.393, 5.393, 5.381 Å; angles 90.00, 90.00, 90.00 degrees
Fractional coordinates of all 5 atoms:
1 Sb 0.000 0.000 0.500
2 Nb 0.000 0.000 0.000
3 Te 0.000 0.500 0.000
4 Te 0.500 0.000 0.000
5 V 0.500 0.500 0.500

(4)
Here is an optimized crystal structure of NbSb2TeW from Alexandria. Energies are from PBE-GGA.

Properties
**Offset from the most stable computed form**: 0.0000 eV per atom

Cell lengths 5.217, 5.217, 5.336 Å; angles 90.00, 90.00, 90.00 degrees
Fractional coordinates of all 5 atoms:
1 Sb 0.000 0.500 0.000
2 Sb 0.500 0.000 0.000
3 Nb 0.500 0.500 0.500
4 Te 0.000 0.000 0.500
5 W 0.000 0.000 0.000

(5)
Here is an optimized crystal structure of NbSbTe2W from Alexandria. Energies are from PBE-GGA.

Properties
**Offset from the most stable computed form**: 0.0000 eV per atom

Cell lengths 5.296, 5.296, 5.222 Å; angles 90.00, 90.00, 90.00 degrees
Fractional coordinates of all 5 atoms:
1 Sb 0.000 0.000 0.500
2 Nb 0.500 0.500 0.500
3 Te 0.000 0.500 0.000
4 Te 0.500 0.000 0.000
5 W 0.000 0.000 0.000

(6)
Here is an optimized crystal structure of ZrNbSb2Te from Alexandria. Energies are from PBE-GGA.

Properties
**Offset from the most stable computed form**: 0.0000 eV per atom

Cell lengths 5.320, 5.320, 5.388 Å; angles 90.00, 90.00, 90.00 degrees
Fractional coordinates of all 5 atoms:
1 Sb 0.000 0.500 0.000
2 Sb 0.500 0.000 0.000
3 Nb 0.000 0.000 0.000
4 Te 0.000 0.000 0.500
5 Zr 0.500 0.500 0.500

(7)
Here is an optimized crystal structure of ThNbSb3 from Alexandria. Energies are from PBE-GGA.

Properties
**E**: -129.7 eV/cell

Cell lengths 6.152, 6.525, 13.120 Å; angles 90.00, 90.00, 90.00 degrees
Fractional coordinates of all 20 atoms:
1 Th 0.750 0.498 0.690
2 Th 0.250 0.502 0.310
3 Th 0.750 0.998 0.310
4 Th 0.250 0.002 0.690
5 Nb 0.500 0.250 0.104
6 Nb 0.000 0.750 0.896
7 Nb 0.500 0.750 0.896
8 Nb 0.000 0.250 0.104
9 Sb 0.000 0.250 0.497
10 Sb 0.500 0.750 0.503
11 Sb 0.000 0.750 0.503
12 Sb 0.500 0.250 0.497
13 Sb 0.250 0.110 0.933
14 Sb 0.750 0.890 0.067
15 Sb 0.250 0.610 0.067
16 Sb 0.750 0.390 0.933
17 Sb 0.250 0.483 0.770
18 Sb 0.750 0.517 0.230
19 Sb 0.250 0.983 0.230
20 Sb 0.750 0.017 0.770

(8)
Here is an optimized crystal structure of TiNb2Sb2 from Alexandria. Energies are from PBE-GGA.

Properties
**Offset from the most stable computed form**: 0.0000 eV per atom

Cell lengths 3.753, 6.633, 8.553 Å; angles 90.00, 102.67, 90.00 degrees
Fractional coordinates of all 10 atoms:
1 Ti 0.404 0.086 0.808
2 Ti 0.596 0.586 0.192
3 Nb 0.979 0.788 0.959
4 Nb 0.818 0.357 0.635
5 Nb 0.182 0.857 0.365
6 Nb 0.021 0.288 0.041
7 Sb 0.426 0.508 0.851
8 Sb 0.810 0.896 0.619
9 Sb 0.190 0.396 0.381
10 Sb 0.574 0.008 0.149

(9)
Here is an optimized crystal structure of Ti5Nb5Sb6 from Alexandria. Energies are from PBE-GGA.

Properties
**E**: -119.8 eV/cell

Cell lengths 5.407, 8.103, 8.103 Å; angles 119.72, 90.00, 90.00 degrees
Fractional coordinates of all 16 atoms:
1 Ti 0.756 0.334 0.669
2 Ti 0.756 0.669 0.334
3 Ti 0.244 0.669 0.334
4 Ti 0.244 0.334 0.669
5 Ti 0.000 0.269 0.269
6 Nb 0.000 0.731 0.000
7 Nb 0.000 0.000 0.731
8 Nb 0.500 0.790 0.790
9 Nb 0.500 0.201 0.002
10 Nb 0.500 0.002 0.201
11 Sb 0.000 0.619 0.619
12 Sb 0.000 0.377 0.004
13 Sb 0.000 0.004 0.377
14 Sb 0.500 0.406 0.406
15 Sb 0.500 0.593 0.001
16 Sb 0.500 0.001 0.593

(10)
Here is an optimized crystal structure of TiNb2Sb2 from Alexandria. Energies are from PBE-GGA.

Properties
**Offset from the most stable computed form**: 0.0871 eV per atom

Cell lengths 7.424, 7.424, 3.653 Å; angles 90.00, 90.00, 90.00 degrees
Fractional coordinates of all 10 atoms:
1 Sb 0.348 0.848 0.000
2 Sb 0.848 0.652 0.000
3 Sb 0.652 0.152 0.000
4 Sb 0.152 0.348 0.000
5 Nb 0.145 0.645 0.500
6 Nb 0.645 0.855 0.500
7 Nb 0.855 0.355 0.500
8 Nb 0.355 0.145 0.500
9 Ti 0.000 0.000 0.000
10 Ti 0.500 0.500 0.000

(11)
Here is an optimized crystal structure of Ti6NbSb from Alexandria. Energies are from PBE-GGA.

Properties
**Offset from the most stable computed form**: 0.0000 eV per atom

Cell lengths 4.507, 5.768, 5.768 Å; angles 109.32, 90.00, 90.00 degrees
Fractional coordinates of all 8 atoms:
1 Ti 0.000 0.145 0.376
2 Ti 0.000 0.624 0.855
3 Ti 0.000 0.648 0.352
4 Ti 0.500 0.387 0.159
5 Ti 0.500 0.841 0.613
6 Ti 0.500 0.856 0.144
7 Nb 0.500 0.370 0.630
8 Sb 0.000 0.130 0.870

(12)
Here is an optimized crystal structure of TiNb2Sb from Alexandria. Energies are from PBE-GGA.

Properties
**E**: -62.5 eV/cell

Cell lengths 3.984, 3.984, 10.537 Å; angles 79.10, 79.10, 90.00 degrees
Fractional coordinates of all 8 atoms:
1 Sb 0.000 0.000 0.000
2 Sb 0.750 0.250 0.500
3 Nb 0.626 0.125 0.250
4 Nb 0.124 0.625 0.250
5 Nb 0.375 0.374 0.750
6 Nb 0.875 0.876 0.750
7 Ti 0.500 0.500 0.000
8 Ti 0.250 0.750 0.500

(13)
Here is an optimized crystal structure of TiNbSb2 from Alexandria. Energies are from PBE-GGA.

Properties
**Offset from the most stable computed form**: 0.3601 eV per atom

Cell lengths 3.152, 3.152, 10.279 Å; angles 81.18, 81.18, 60.00 degrees
Fractional coordinates of all 4 atoms:
1 Sb 0.094 0.094 0.717
2 Sb 0.906 0.906 0.283
3 Nb 0.000 0.000 0.000
4 Ti 0.500 0.500 0.500

(14)
Here is an optimized crystal structure of TiNbSb2 from Alexandria. Energies are from PBE-GGA.

Properties
**Offset from the most stable computed form**: 0.7252 eV per atom

Cell lengths 6.374, 6.374, 7.755 Å; angles 65.73, 65.73, 90.00 degrees
Fractional coordinates of all 8 atoms:
1 Sb 0.623 0.125 0.250
2 Sb 0.127 0.625 0.250
3 Sb 0.375 0.377 0.750
4 Sb 0.875 0.873 0.750
5 Nb 0.000 0.000 0.000
6 Nb 0.750 0.250 0.500
7 Ti 0.500 0.500 0.000
8 Ti 0.250 0.750 0.500

(15)
Here is an optimized crystal structure of TiNbSb2 from Alexandria. Energies are from PBE-GGA.

Properties
**Offset from the most stable computed form**: 0.1561 eV per atom

Cell lengths 3.954, 3.954, 6.955 Å; angles 73.49, 73.49, 60.00 degrees
Fractional coordinates of all 4 atoms:
1 Ti 0.500 0.500 0.500
2 Nb 0.000 0.000 0.000
3 Sb 0.248 0.248 0.257
4 Sb 0.752 0.752 0.743

(16)
Here is an optimized crystal structure of TiNbSb from Alexandria. Energies are from PBE-GGA.

Properties
**E**: -23.1 eV/cell

Cell lengths 3.549, 3.549, 5.124 Å; angles 110.26, 110.26, 90.00 degrees
Fractional coordinates of all 3 atoms:
1 Sb 0.617 0.617 0.234
2 Nb 0.287 0.287 0.573
3 Ti 0.947 0.947 0.893

(17)
Here is an optimized crystal structure of TiNbSb3 from Alexandria. Energies are from PBE-GGA.

Properties
**Offset from the most stable computed form**: 0.0000 eV per atom

Cell lengths 5.342, 5.342, 5.342 Å; angles 90.00, 90.00, 90.00 degrees
Fractional coordinates of all 5 atoms:
1 Sb 0.000 0.500 0.000
2 Sb 0.000 0.000 0.500
3 Sb 0.500 0.000 0.000
4 Nb 0.000 0.000 0.000
5 Ti 0.500 0.500 0.500

(18)
Here is an optimized crystal structure of TiNb2Sb from Alexandria. Energies are from PBE-GGA.

Properties
**E**: -66.5 eV/cell

Cell lengths 4.464, 3.543, 9.989 Å; angles 90.00, 102.89, 90.00 degrees
Fractional coordinates of all 8 atoms:
1 Ti 0.686 0.750 0.372
2 Ti 0.314 0.250 0.628
3 Nb 0.563 0.250 0.125
4 Nb 0.437 0.750 0.875
5 Nb 0.057 0.750 0.115
6 Nb 0.943 0.250 0.885
7 Sb 0.171 0.250 0.343
8 Sb 0.829 0.750 0.657

(19)
Here is an optimized crystal structure of Ti12NbSb6 from Alexandria. Energies are from PBE-GGA.

Properties
**E**: -134.1 eV/cell

Cell lengths 7.871, 7.871, 7.871 Å; angles 110.61, 110.61, 110.61 degrees
Fractional coordinates of all 19 atoms:
1 Ti 0.803 0.684 0.545
2 Ti 0.545 0.803 0.684
3 Ti 0.684 0.545 0.803
4 Ti 0.197 0.316 0.455
5 Ti 0.455 0.197 0.316
6 Ti 0.316 0.455 0.197
7 Ti 0.901 0.825 0.259
8 Ti 0.175 0.741 0.099
9 Ti 0.741 0.099 0.175
10 Ti 0.099 0.175 0.741
11 Ti 0.825 0.259 0.901
12 Ti 0.259 0.901 0.825
13 Nb 0.000 0.000 0.000
14 Sb 0.635 0.913 0.411
15 Sb 0.589 0.365 0.087
16 Sb 0.087 0.589 0.365
17 Sb 0.365 0.087 0.589
18 Sb 0.411 0.635 0.913
19 Sb 0.913 0.411 0.635

(20)
Here is an optimized crystal structure of Ti8NbSb2 from Alexandria. Energies are from PBE-GGA.

Properties
**E**: -81.7 eV/cell

Cell lengths 4.253, 4.253, 11.250 Å; angles 90.00, 90.00, 90.00 degrees
Fractional coordinates of all 11 atoms:
1 Ti 0.000 0.500 0.500
2 Ti 0.500 0.000 0.500
3 Ti 0.500 0.500 0.328
4 Ti 0.500 0.500 0.672
5 Ti 0.000 0.500 0.142
6 Ti 0.500 0.000 0.142
7 Ti 0.000 0.500 0.858
8 Ti 0.500 0.000 0.858
9 Nb 0.000 0.000 0.000
10 Sb 0.000 0.000 0.321
11 Sb 0.000 0.000 0.679

Number 1: M_tot 0.00 μB per atom. Number 2: M_tot 0.78 μB per atom. Number 3: M_tot 0.81 μB per atom. Number 4: M_tot 0.81 μB per atom. Number 5: M_tot 0.80 μB per atom. Number 6: M_tot 0.35 μB per atom. Number 7: M_tot 0.00 μB per atom. Number 8: M_tot 0.00 μB per atom. Number 9: M_tot 0.00 μB per atom. Number 10: M_tot 0.00 μB per atom. Number 11: M_tot 0.00 μB per atom. Number 12: M_tot 0.00 μB per atom. Number 13: M_tot 0.00 μB per atom. Number 14: M_tot 0.75 μB per atom. Number 15: M_tot 0.07 μB per atom. Number 16: M_tot 0.00 μB per atom. Number 17: M_tot 0.50 μB per atom. Number 18: M_tot 0.00 μB per atom. Number 19: M_tot 0.00 μB per atom. Number 20: M_tot 0.00 μB per atom.